(1)
The following is a DFT calculation (GGA-PBE) of Rb2IO5 after structural relaxation.

Cell: 6.595 6.595 8.637 Å, 90.00 90.00 90.00°
Space group I4mm (No. 107)
Asymmetric unit:
Rb 0.000 0.500 0.000 x4
I 0.000 0.000 0.230 x2
O 0.000 0.000 0.022 x2
O 0.194 0.194 0.284 x8

Results
Polymorph energy (0 for the lowest one) = 6.0 meV per atom
Formation energy without anion corrections = -0.806 eV per atom
Magnetic moment = 0.92 μB/f.u.

(2)
The following is a DFT calculation (GGA-PBE) of TbSnHgPb after structural relaxation.

Cell: 4.564 4.783 4.786 Å, 90.00 90.00 90.00°
Space group Pmmm (No. 47)
Asymmetric unit:
Tb 0.000 0.000 0.000 x1
Sn 0.500 0.000 0.500 x1
Hg 0.000 0.500 0.500 x1
Pb 0.500 0.500 0.000 x1

Results
Polymorph energy (0 for the lowest one) = 0.0 meV per atom
Magnetic moment = 0.00 μB/f.u.
ΔE_f = -0.384 eV per atom

(3)
The following is a DFT calculation (GGA-PBE) of LaNd6Ho12 after structural relaxation.

Cell: 11.1133 11.1133 17.5180 Å, 90.00 90.00 120.00°
Space group R-3m (No. 166, hexagonal axes)
Asymmetric unit:
La 0.0000 0.0000 0.0000 x3
Nd 0.0712 0.5356 0.7647 x18
Ho 0.1053 0.5527 0.4152 x18
Ho 0.1065 0.2130 0.4097 x18

Results
Polymorph energy (0 for the lowest one) = 0.0 meV per atom
Magnetic moment = 0.00 μB/f.u.
ΔE_f = 0.109 eV per atom

(4)
The following is a DFT calculation (GGA-PBE) of Sc5In2OsPt2 after structural relaxation.

Cell: 11.261 11.261 3.270 Å, 90.00 90.00 90.00°
Space group P4/mbm (No. 127)
Asymmetric unit:
Sc 0.000 0.500 0.000 x2
Sc 0.063 0.188 0.000 x8
In 0.174 0.674 0.500 x4
Os 0.000 0.000 0.500 x2
Pt 0.134 0.366 0.500 x4

Results
Magnetic moment = 0.00 μB/f.u.
ΔE_f = -0.731 eV per atom

(5)
The following is a DFT calculation (GGA-PBE) of LiGa8Rh5 after structural relaxation.

Cell: 7.329 7.329 7.995 Å, 90.00 90.00 90.00°
Space group I-4 (No. 82)
Asymmetric unit:
Li 0.000 0.000 0.000 x2
Ga 0.071 0.833 0.658 x8
Ga 0.093 0.660 0.026 x8
Rh 0.000 0.500 0.750 x2
Rh 0.149 0.721 0.340 x8

Results
Magnetic moment = 0.00 μB/f.u.
ΔE_f = -0.480 eV per atom

(6)
The following is a DFT calculation (GGA-PBE) of LaSc2Au2 after structural relaxation.

Cell: 4.653 4.653 11.485 Å, 90.00 90.00 90.00°
Space group I4/mmm (No. 139)
Asymmetric unit:
La 0.000 0.000 0.000 x2
Sc 0.000 0.500 0.250 x4
Au 0.000 0.000 0.381 x4

Results
Polymorph energy (0 for the lowest one) = 0.0 meV per atom
Magnetic moment = 0.00 μB/f.u.
ΔE_f = -0.614 eV per atom

(7)
The following is a DFT calculation (GGA-PBE) of SrGeIrO6 after structural relaxation.

Cell: 5.1604 5.1604 10.8730 Å, 90.00 90.00 120.00°
Space group P-31c (No. 163)
Asymmetric unit:
Sr 0.0000 0.0000 0.0000 x2
Ge 0.3333 0.6667 0.2500 x2
Ir 0.3333 0.6667 0.7500 x2
O 0.0038 0.3795 0.1512 x12

Results
Formation energy without anion corrections = -1.544 eV per atom
Magnetic moment = 2.64 μB/f.u.

(8)
The following is a DFT calculation (GGA-PBE) of Ga4TcAu after structural relaxation.

Cell: 9.168 10.581 5.213 Å, 90.00 118.62 90.00°
Space group C2/c (No. 15)
Asymmetric unit:
Ga 0.109 0.198 0.081 x8
Ga 0.237 0.414 0.303 x8
Tc 0.000 0.002 0.250 x4
Au 0.000 0.416 0.750 x4

Results
Magnetic moment = 0.00 μB/f.u.
ΔE_f = -0.093 eV per atom